(1)
Compound: Pu3GaSi2
Source: Alexandria
Functional: PBE-GGA
Structure: optimized geometry

V: 466.9 Å³ per cell
formation energy from raw total energies: -308 meV per atom
DOS at the Fermi energy: 2.4988 states/eV per atom

The structure in extended XYZ format:
```
24
Lattice="11.8627 0.0000 0.0000 0.0000 4.1873 0.0000 0.0000 0.0000 9.3993" Properties=species:S:1:pos:R:3 pbc="T T T"
Pu 0.5988 1.0468 0.8869
Pu 2.1325 3.1405 5.9344
Pu 2.9370 1.0468 7.2821
Pu 2.9944 3.1405 2.5824
Pu 3.7988 1.0468 1.2348
Pu 5.3325 3.1405 5.5866
Pu 6.5301 1.0468 3.8127
Pu 8.0639 3.1405 8.1645
Pu 8.8683 1.0468 6.8169
Pu 8.9257 3.1405 2.1172
Pu 9.7302 1.0468 3.4649
Pu 11.2639 3.1405 8.5124
Ga 1.0356 1.0468 3.9228
Ga 4.8957 3.1405 8.6224
Ga 6.9670 1.0468 0.7769
Ga 10.8270 3.1405 5.4765
Si 0.0583 1.0468 6.5342
Si 2.2906 3.1405 9.1250
Si 3.6407 1.0468 4.4253
Si 5.8731 3.1405 1.8345
Si 5.9896 1.0468 7.5648
Si 8.2220 3.1405 4.9740
Si 9.5721 1.0468 0.2744
Si 11.8044 3.1405 2.8651
```


(2)
Compound: SmPuGaSi
Source: Alexandria
Functional: PBE-GGA
Structure: optimized geometry

V: 91.0 Å³ per cell
formation energy from raw total energies: -366 meV per atom
DOS at the Fermi energy: 2.1851 states/eV per atom

The structure in extended XYZ format:
```
4
Lattice="0.0000 3.5707 3.5707 3.5707 0.0000 3.5707 3.5707 3.5707 0.0000" Properties=species:S:1:pos:R:3 pbc="T T T"
Sm 0.0000 0.0000 0.0000
Pu 3.5707 3.5707 3.5707
Ga 1.7853 1.7853 1.7853
Si 5.3560 5.3560 5.3560
```